1.
Entry from Alexandria via LeMat-Bulk: a relaxed SnIrS4 crystal (PBE).

CIF file:
```
data_SnIrS4
_cell_length_a 11.5463
_cell_length_b 3.6215
_cell_length_c 6.3923
_cell_angle_alpha 90.00
_cell_angle_beta 99.35
_cell_angle_gamma 90.00
_space_group_name_H-M_alt 'C 1 2/m 1'
_space_group_IT_number 12
loop_
_space_group_symop_operation_xyz
'x,y,z'
'-x,-y,-z'
'-x,y,-z'
'x,-y,z'
'x+1/2,y+1/2,z'
'-x+1/2,-y+1/2,-z'
'-x+1/2,y+1/2,-z'
'x+1/2,-y+1/2,z'
loop_
_atom_site_label
_atom_site_type_symbol
_atom_site_fract_x
_atom_site_fract_y
_atom_site_fract_z
Sn1 Sn 0.0000 0.0000 0.0000
Ir1 Ir 0.0000 0.5000 0.5000
S1 S 0.1113 0.0000 0.3853
S2 S 0.1207 0.5000 0.8353
```

2.
Entry from Alexandria via LeMat-Bulk: a relaxed TaAlPb2 crystal (PBE).

The value obtained for the formation energy is 0.58 eV/atom.

CIF file:
```
data_TaAlPb2
_cell_length_a 3.2058
_cell_length_b 5.2679
_cell_length_c 5.4354
_cell_angle_alpha 90.00
_cell_angle_beta 90.00
_cell_angle_gamma 90.00
_space_group_name_H-M_alt 'P m m m'
_space_group_IT_number 47
loop_
_space_group_symop_operation_xyz
'x,y,z'
'-x,-y,-z'
'-x,-y,z'
'x,y,-z'
'x,-y,-z'
'-x,y,z'
'-x,y,-z'
'x,-y,z'
loop_
_atom_site_label
_atom_site_type_symbol
_atom_site_fract_x
_atom_site_fract_y
_atom_site_fract_z
Ta1 Ta 0.0000 0.0000 0.0000
Al1 Al 0.5000 0.0000 0.5000
Pb1 Pb 0.0000 0.5000 0.5000
Pb2 Pb 0.5000 0.5000 0.0000
```

3.
Entry from Alexandria via LeMat-Bulk: a relaxed KLiCd17 crystal (PBE).

The value obtained for the formation energy is -0.03 eV/atom.

CIF file:
```
data_KLiCd17
_cell_length_a 10.2611
_cell_length_b 10.2611
_cell_length_c 15.2282
_cell_angle_alpha 90.00
_cell_angle_beta 90.00
_cell_angle_gamma 120.00
_space_group_name_H-M_alt 'R 3 m'
_space_group_IT_number 160
_space_group_name_Hall 'R 3 -2"'
loop_
_atom_site_label
_atom_site_type_symbol
_atom_site_fract_x
_atom_site_fract_y
_atom_site_fract_z
K1 K 0.0000 0.0000 0.0000
Li1 Li 0.0000 0.0000 0.6520
Cd1 Cd 0.0000 0.0000 0.2487
Cd2 Cd 0.0000 0.0000 0.4466
Cd3 Cd 0.0039 0.3004 0.3388
Cd4 Cd 0.0170 0.5085 0.1956
Cd5 Cd 0.0257 0.5129 0.8337
Cd6 Cd 0.0416 0.5208 0.4843
```

4.
Entry from Alexandria via LeMat-Bulk: a relaxed NdMg2Cu9 crystal (PBE).

The value obtained for the formation energy is -0.17 eV/atom.

CIF file:
```
data_NdMg2Cu9
_cell_length_a 5.0970
_cell_length_b 5.0970
_cell_length_c 16.0023
_cell_angle_alpha 90.00
_cell_angle_beta 90.00
_cell_angle_gamma 120.00
_space_group_name_H-M_alt 'P 63/m m c'
_space_group_IT_number 194
_space_group_name_Hall '-P 6c 2c'
loop_
_atom_site_label
_atom_site_type_symbol
_atom_site_fract_x
_atom_site_fract_y
_atom_site_fract_z
Nd1 Nd 0.3333 0.6667 0.2500
Mg1 Mg 0.3333 0.6667 0.0316
Cu1 Cu 0.0000 0.0000 0.0000
Cu2 Cu 0.0000 0.0000 0.2500
Cu3 Cu 0.1686 0.3372 0.6221
Cu4 Cu 0.3333 0.6667 0.7500
```

5.
Entry from Alexandria via LeMat-Bulk: a relaxed DyPuZn17 crystal (PBE).

The value obtained for the formation energy is -0.19 eV/atom.

CIF file:
```
data_DyPuZn17
_cell_length_a 8.9821
_cell_length_b 8.9821
_cell_length_c 13.2026
_cell_angle_alpha 90.00
_cell_angle_beta 90.00
_cell_angle_gamma 120.00
_space_group_name_H-M_alt 'R 3 m'
_space_group_IT_number 160
_space_group_name_Hall 'R 3 -2"'
loop_
_atom_site_label
_atom_site_type_symbol
_atom_site_fract_x
_atom_site_fract_y
_atom_site_fract_z
Dy1 Dy 0.0000 0.0000 0.0000
Pu1 Pu 0.0000 0.0000 0.6699
Zn1 Zn 0.0000 0.0000 0.2348
Zn2 Zn 0.0000 0.0000 0.4344
Zn3 Zn 0.9995 0.2966 0.3348
Zn4 Zn 0.0106 0.5053 0.4863
Zn5 Zn 0.1672 0.3344 0.1685
Zn6 Zn 0.1712 0.3424 0.5162
```

6.
Entry from Alexandria via LeMat-Bulk: a relaxed Pr7Sm2Tm2 crystal (PBE).

The value obtained for the formation energy is 0.13 eV/atom.

CIF file:
```
data_Pr7Sm2Tm2
_cell_length_a 8.6471
_cell_length_b 11.0863
_cell_length_c 8.3397
_cell_angle_alpha 90.00
_cell_angle_beta 103.70
_cell_angle_gamma 90.00
_space_group_name_H-M_alt 'C 1 2/m 1'
_space_group_IT_number 12
loop_
_space_group_symop_operation_xyz
'x,y,z'
'-x,-y,-z'
'-x,y,-z'
'x,-y,z'
'x+1/2,y+1/2,z'
'-x+1/2,-y+1/2,-z'
'-x+1/2,y+1/2,-z'
'x+1/2,-y+1/2,z'
loop_
_atom_site_label
_atom_site_type_symbol
_atom_site_fract_x
_atom_site_fract_y
_atom_site_fract_z
Pr1 Pr 0.0000 0.0000 0.0000
Pr2 Pr 0.1969 0.2895 0.1707
Pr3 Pr 0.1992 0.0000 0.4840
Sm1 Sm 0.0820 0.5000 0.8191
Tm1 Tm 0.0000 0.2857 0.5000
```

7.
Entry from Alexandria via LeMat-Bulk: a relaxed Tm4Te2C crystal (PBE).

CIF file:
```
data_Tm4Te2C
_cell_length_a 4.6645
_cell_length_b 4.6645
_cell_length_c 15.6119
_cell_angle_alpha 90.00
_cell_angle_beta 90.00
_cell_angle_gamma 90.00
_space_group_name_H-M_alt 'I 4/m m m'
_space_group_IT_number 139
_space_group_name_Hall '-I 4 2'
loop_
_atom_site_label
_atom_site_type_symbol
_atom_site_fract_x
_atom_site_fract_y
_atom_site_fract_z
Tm1 Tm 0.0000 0.0000 0.1585
Tm2 Tm 0.0000 0.5000 0.0000
Te1 Te 0.0000 0.0000 0.3569
C1 C 0.0000 0.0000 0.0000
```

Number 1: raw total energy -5.220 eV/atom. Number 2: raw total energy -5.169 eV/atom. Number 3: raw total energy -1.008 eV/atom. Number 4: raw total energy -3.901 eV/atom. Number 5: raw total energy -2.323 eV/atom. Number 6: raw total energy -4.586 eV/atom. Number 7: raw total energy -5.466 eV/atom.